[1]
{
  "formula": "Pm2HoSi6",
  "functional": "PBE",
  "state": "optimized geometry",
  "lattice_angstrom": [[4.0451, 0.0000, 0.0000], [0.0000, 6.1778, -3.5667], [0.0000, 0.0000, 7.1335]],
  "species": ["Pm", "Pm", "Ho", "Si", "Si", "Si", "Si", "Si", "Si"],
  "frac_coords": [[0.0000, 0.3333, 0.6667], [0.0000, 0.6667, 0.3333], [0.0000, 0.0000, 0.0000], [0.5000, 0.3312, 0.3312], [0.5000, 0.0000, 0.6688], [0.5000, 0.6688, 0.6688], [0.5000, 0.6688, 0.0000], [0.5000, 0.3312, 0.0000], [0.5000, 0.0000, 0.3312]],
  "e_tot_ev_per_atom": -5.73,
  "raw_formation_energy_ev_per_atom": -0.55,
  "vol_a3_per_atom": 19.807,
  "total_magnetization_mub_per_fu": 0.0
}

=====

[2]
{
  "formula": "KCd2Ni",
  "functional": "PBE",
  "state": "optimized geometry",
  "lattice_angstrom": [[0.0000, 3.5978, 3.5978], [3.5978, 0.0000, 3.5978], [3.5978, 3.5978, 0.0000]],
  "species": ["Ni", "K", "Cd", "Cd"],
  "frac_coords": [[0.5000, 0.5000, 0.5000], [0.0000, 0.0000, 0.0000], [0.7500, 0.7500, 0.7500], [0.2500, 0.2500, 0.2500]],
  "e_tot_ev_per_atom": -1.78,
  "vol_a3_per_atom": 23.286,
  "e_above_lowest_polymorph_mev_per_atom": 296,
  "total_magnetization_mub_per_fu": 0.0
}

=====

[3]
{
  "formula": "AgAuBr3",
  "functional": "PBE",
  "state": "optimized geometry",
  "lattice_angstrom": [[7.6936, 0.0000, -0.8680], [0.0000, 7.2934, 0.0000], [-2.1843, 0.0000, 11.9648]],
  "species": ["Br", "Br", "Br", "Br", "Br", "Br", "Br", "Br", "Br", "Br", "Br", "Br", "Au", "Au", "Au", "Au", "Ag", "Ag", "Ag", "Ag"],
  "frac_coords": [[0.7336, 0.8458, 0.0850], [0.2336, 0.6542, 0.5850], [0.3764, 0.1657, 0.5890], [0.6236, 0.8343, 0.4110], [0.2664, 0.1542, 0.9150], [0.1236, 0.6657, 0.9110], [0.1752, 0.9650, 0.2387], [0.8764, 0.3343, 0.0890], [0.6752, 0.5350, 0.7387], [0.3248, 0.4650, 0.2613], [0.7664, 0.3458, 0.4150], [0.8248, 0.0350, 0.7613], [0.0514, 0.1881, 0.4999], [0.5514, 0.3119, 0.9999], [0.9486, 0.8119, 0.5001], [0.4486, 0.6881, 0.0001], [0.5282, 0.8499, 0.6620], [0.9718, 0.3499, 0.8380], [0.4718, 0.1501, 0.3380], [0.0282, 0.6501, 0.1620]],
  "e_tot_ev_per_atom": -2.37,
  "raw_formation_energy_ev_per_atom": -0.14,
  "vol_a3_per_atom": 32.877,
  "e_above_lowest_polymorph_mev_per_atom": 27,
  "total_magnetization_mub_per_fu": 0.0
}

=====

[4]
{
  "formula": "LuNiAgPd",
  "functional": "PBE",
  "state": "optimized geometry",
  "lattice_angstrom": [[4.5894, 0.0000, 0.0000], [2.2947, 3.9745, 0.0000], [2.2947, 1.3248, 3.7472]],
  "species": ["Ni", "Lu", "Pd", "Ag"],
  "frac_coords": [[0.5000, 0.5000, 0.5000], [0.7500, 0.7500, 0.7500], [0.0000, 0.0000, 0.0000], [0.2500, 0.2500, 0.2500]],
  "e_tot_ev_per_atom": -5.00,
  "vol_a3_per_atom": 17.088,
  "total_magnetization_mub_per_fu": 0.0
}

=====

[5]
{
  "formula": "InPSe2Br",
  "functional": "PBE",
  "state": "optimized geometry",
  "lattice_angstrom": [[4.9108, 0.0000, 0.0000], [0.0000, 4.9108, 0.0000], [0.0000, 0.0000, 5.3406]],
  "species": ["P", "Se", "Se", "Br", "In"],
  "frac_coords": [[0.0000, 0.0000, 0.0000], [0.0000, 0.5000, 0.0000], [0.5000, 0.0000, 0.0000], [0.0000, 0.0000, 0.5000], [0.5000, 0.5000, 0.5000]],
  "e_tot_ev_per_atom": -3.28,
  "raw_formation_energy_ev_per_atom": 0.08,
  "vol_a3_per_atom": 25.759,
  "e_above_lowest_polymorph_mev_per_atom": 0,
  "total_magnetization_mub_per_fu": 0.0
}

=====

[6]
{
  "formula": "YBiPtO6",
  "functional": "PBE",
  "state": "optimized geometry",
  "lattice_angstrom": [[-4.3320, -2.4773, -2.4030], [0.3349, 0.2488, 5.5230], [-4.6072, 8.1414, -0.0874]],
  "species": ["Pt", "Pt", "O", "O", "O", "O", "O", "O", "O", "O", "O", "O", "O", "O", "Y", "Y", "Bi", "Bi"],
  "frac_coords": [[0.6667, 0.3333, 0.2500], [0.3333, 0.6667, 0.7500], [0.0327, 0.3648, 0.6287], [0.6353, 0.9673, 0.8713], [0.3647, 0.3321, 0.3713], [0.6679, 0.6352, 0.1287], [0.6353, 0.6679, 0.6287], [0.3321, 0.3648, 0.8713], [0.3647, 0.0327, 0.1287], [0.0327, 0.6679, 0.8713], [0.9673, 0.3321, 0.1287], [0.6679, 0.0327, 0.3713], [0.9673, 0.6352, 0.3713], [0.3321, 0.9673, 0.6287], [0.6667, 0.3333, 0.7500], [0.3333, 0.6667, 0.2500], [0.0000, 0.0000, 0.5000], [0.0000, 0.0000, 0.0000]],
  "e_tot_ev_per_atom": -6.52,
  "raw_formation_energy_ev_per_atom": -1.40,
  "vol_a3_per_atom": 13.808,
  "total_magnetization_mub_per_fu": 0.0
}

=====

[7]
{
  "formula": "TbNdInGa",
  "functional": "PBE",
  "state": "optimized geometry",
  "lattice_angstrom": [[3.7083, 0.0000, 0.0000], [0.0000, 3.7083, 0.0000], [0.0000, 0.0000, 7.5826]],
  "species": ["Tb", "Ga", "Nd", "In"],
  "frac_coords": [[0.5000, 0.5000, 0.5929], [0.0000, 0.0000, 0.3685], [0.5000, 0.5000, 0.1202], [0.0000, 0.0000, 0.8464]],
  "e_tot_ev_per_atom": -4.32,
  "vol_a3_per_atom": 26.068,
  "e_above_lowest_polymorph_mev_per_atom": 0,
  "total_magnetization_mub_per_fu": 0.0
}

=====

[8]
{
  "formula": "Mn2C",
  "functional": "PBE",
  "state": "optimized geometry",
  "lattice_angstrom": [[1.6474, 8.9849, 1.1881], [-1.8921, 8.9217, 1.2954], [0.1798, -9.1957, 0.5115]],
  "species": ["C", "C", "Mn", "Mn", "Mn", "Mn"],
  "frac_coords": [[0.0000, 0.0000, 0.0000], [0.7500, 0.2500, 0.5000], [0.4361, 0.4361, 0.0000], [0.3139, 0.8139, 0.5000], [0.5639, 0.5639, 0.0000], [0.1861, 0.6861, 0.5000]],
  "e_tot_ev_per_atom": -8.65,
  "vol_a3_per_atom": 9.449,
  "total_magnetization_mub_per_fu": 2.8
}

=====

[9]
{
  "formula": "Be4ReTc",
  "functional": "PBE",
  "state": "optimized geometry",
  "lattice_angstrom": [[-2.6612, -3.4134, 0.6155], [1.4015, -3.4904, 2.2282], [-1.5968, -0.8365, 3.9828]],
  "species": ["Be", "Be", "Be", "Be", "Tc", "Re"],
  "frac_coords": [[0.8724, 0.3759, 0.3759], [0.3759, 0.8724, 0.3759], [0.3759, 0.3759, 0.8724], [0.3759, 0.3759, 0.3759], [0.0000, 0.0000, 0.0000], [0.7500, 0.7500, 0.7500]],
  "e_tot_ev_per_atom": -6.67,
  "vol_a3_per_atom": 9.847,
  "total_magnetization_mub_per_fu": 0.0
}

=====

[10]
{
  "formula": "CdGaBr2",
  "functional": "PBE",
  "state": "optimized geometry",
  "lattice_angstrom": [[6.1829, 0.0000, 0.0000], [0.0000, 6.1829, 0.0000], [3.0915, 3.0915, 8.2115]],
  "species": ["Br", "Br", "Br", "Br", "Ga", "Ga", "Cd", "Cd"],
  "frac_coords": [[0.0968, 0.6250, 0.2500], [0.6532, 0.1250, 0.2500], [0.8750, 0.9032, 0.7500], [0.3750, 0.3468, 0.7500], [0.2500, 0.7500, 0.5000], [0.5000, 0.5000, 0.0000], [0.0000, 0.0000, 0.0000], [0.7500, 0.2500, 0.5000]],
  "e_tot_ev_per_atom": -2.16,
  "raw_formation_energy_ev_per_atom": -0.34,
  "vol_a3_per_atom": 39.240,
  "e_above_lowest_polymorph_mev_per_atom": 5,
  "total_magnetization_mub_per_fu": 0.0
}

=====

[11]
{
  "formula": "TbDyBr",
  "functional": "PBE",
  "state": "optimized geometry",
  "lattice_angstrom": [[-1.9575, -3.0914, 0.7055], [3.2879, -0.2327, -1.7383], [3.3585, -0.6567, 6.4404]],
  "species": ["Br", "Dy", "Tb"],
  "frac_coords": [[0.6667, 0.3333, 0.3341], [0.3333, 0.6667, 0.6508], [0.0000, 0.0000, 0.0151]],
  "e_tot_ev_per_atom": -4.37,
  "raw_formation_energy_ev_per_atom": -0.73,
  "vol_a3_per_atom": 29.235,
  "e_above_lowest_polymorph_mev_per_atom": 0,
  "total_magnetization_mub_per_fu": 0.3
}

=====

[12]
{
  "formula": "YReRh2",
  "functional": "PBE",
  "state": "optimized geometry",
  "lattice_angstrom": [[0.0000, 3.2618, 3.2618], [3.2618, 0.0000, 3.2618], [3.2618, 3.2618, 0.0000]],
  "species": ["Rh", "Rh", "Re", "Y"],
  "frac_coords": [[0.2500, 0.2500, 0.2500], [0.7500, 0.7500, 0.7500], [0.5000, 0.5000, 0.5000], [0.0000, 0.0000, 0.0000]],
  "e_tot_ev_per_atom": -8.35,
  "vol_a3_per_atom": 17.351,
  "e_above_lowest_polymorph_mev_per_atom": 222,
  "total_magnetization_mub_per_fu": 2.9
}

=====

Number 1: DOS at the Fermi energy 0.67 states/eV per atom. Number 2: DOS at the Fermi energy 0.54 states/eV per atom. Number 3: DOS at the Fermi energy 0.38 states/eV per atom. Number 4: DOS at the Fermi energy 0.61 states/eV per atom. Number 5: DOS at the Fermi energy 0.83 states/eV per atom. Number 6: DOS at the Fermi energy 0.61 states/eV per atom. Number 7: DOS at the Fermi energy 0.53 states/eV per atom. Number 8: DOS at the Fermi energy 0.78 states/eV per atom. Number 9: DOS at the Fermi energy 0.51 states/eV per atom. Number 10: DOS at the Fermi energy 0.10 states/eV per atom. Number 11: DOS at the Fermi energy 1.21 states/eV per atom. Number 12: DOS at the Fermi energy 1.89 states/eV per atom.